# 1
A plane-wave DFT calculation with PBEsol was carried out for a relaxed ZnCoTe3O8 crystal.

abc: 12.5587 5.1576 11.4916
angles: 90.00 98.88 90.00
Last column: nearest neighbours and their distance in Å.
Space group C2 (No. 5)
Asymmetric unit:
Zn  0.2305  0.0000  0.0972 x4  5 O 2.00-2.14
Co  0.2316  0.5944  0.5990 x4  5 O 1.97-2.12
Te  0.0000  0.6368  0.0000 x2  4 O 1.90-2.09
Te  0.0000  0.9650  0.5000 x2  4 O 1.92-2.08
Te  0.1324  0.9941  0.7974 x4  3 O 1.91-1.98
Te  0.1334  0.5975  0.3031 x4  3 O 1.92-1.98
O  0.0819  0.8652  0.1092 x4  1 Te 1.90, 1 Zn 2.02
O  0.0843  0.7340  0.6080 x4  1 Te 1.92, 1 Co 2.00
O  0.1121  0.6702  0.8843 x4  2 Te 1.98-2.09, 1 Zn 2.14
O  0.1125  0.9273  0.3853 x4  2 Te 1.98-2.08, 1 Co 2.12
O  0.1942  0.4218  0.4453 x4  1 Te 1.92, 2 Co 1.97-2.03
O  0.1962  0.1658  0.9387 x4  1 Te 1.91, 2 Zn 2.00-2.03
O  0.2335  0.2821  0.7131 x4  1 Te 1.96, 1 Co 2.07
O  0.2360  0.3051  0.2239 x4  1 Te 1.97, 1 Zn 2.14

Output
Uncorrected formation energy, eV per formula unit: -13.62
Crystal system: monoclinic
Calculated total energy, eV for the cell shown: -302.04
DOS at the Fermi energy, states/eV/atom: 0.185


# 2
A plane-wave DFT calculation with PBEsol was carried out for a relaxed TiCo3O8 crystal.

abc: 5.6505 5.6505 13.8781
angles: 90.00 90.00 120.00
Last column: nearest neighbours and their distance in Å.
Space group R3m (No. 160, hexagonal axes)
Asymmetric unit:
Ti  0.0000  0.0000  0.0000 x3  6 O 1.88-2.04
Co  0.1678  0.3355  0.3137 x9  6 O 1.84-1.89
O  0.0000  0.0000  0.2494 x3  3 Co 1.87
O  0.0000  0.0000  0.7135 x3  3 Co 1.86
O  0.0074  0.5037  0.2491 x9  2 Co 1.84, 1 Ti 2.04
O  0.1767  0.3533  0.0533 x9  1 Ti 1.88, 2 Co 1.89

Output
Uncorrected formation energy, eV per formula unit: -15.94
Crystal system: trigonal
Calculated total energy, eV for the cell shown: -268.39
ΔE to the lowest computed polymorph, meV/atom: 56.2
DOS at the Fermi energy, states/eV/atom: 0.647